Record 1
{"formula": "TbSmGe4", "functional": "GGA-PBE", "state": "relaxed", "lattice": [[5.667, 0.000, 0.000], [2.834, 4.908, 0.000], [2.834, 1.636, 4.627]], "species": ["Sm", "Ge", "Ge", "Tb", "Ge", "Ge"], "frac_coords": [[0.000, 0.000, 0.000], [0.624, 0.624, 0.127], [0.127, 0.624, 0.624], [0.250, 0.250, 0.250], [0.624, 0.127, 0.624], [0.624, 0.624, 0.624]], "e_tot_ev_per_atom": -4.9747, "crystal_system": "cubic", "mass_density_g_cm3": 7.74, "ef_ev_per_atom": -0.338}

Record 2
{"formula": "TbSm2Ge", "functional": "GGA-PBE", "state": "relaxed", "lattice": [[4.758, 0.000, 0.000], [0.000, 4.721, 0.000], [0.000, 0.000, 4.721]], "species": ["Sm", "Tb", "Sm", "Ge"], "frac_coords": [[0.000, 0.500, 0.000], [0.500, 0.500, 0.500], [0.000, 0.000, 0.500], [0.500, 0.000, 0.000]], "e_tot_ev_per_atom": -5.0082, "crystal_system": "tetragonal", "mass_density_g_cm3": 8.33, "ef_ev_per_atom": -0.337}

Record 3
{"formula": "Tb2SmGe2", "functional": "GGA-PBE", "state": "relaxed", "lattice": [[4.457, 0.000, 0.000], [2.228, 6.248, 0.144], [2.228, 1.191, 9.252]], "species": ["Ge", "Sm", "Ge", "Ge", "Tb", "Tb", "Tb", "Tb", "Sm", "Ge"], "frac_coords": [[0.040, 0.818, 0.102], [0.785, 0.081, 0.348], [0.883, 0.669, 0.564], [0.117, 0.331, 0.436], [0.485, 0.347, 0.684], [0.313, 0.290, 0.084], [0.515, 0.653, 0.316], [0.687, 0.710, 0.916], [0.215, 0.919, 0.652], [0.960, 0.182, 0.898]], "e_tot_ev_per_atom": -5.2874, "crystal_system": "monoclinic", "mass_density_g_cm3": 7.93, "ef_ev_per_atom": -0.645}

Record 4
{"formula": "TbSmGe", "functional": "GGA-PBE", "state": "relaxed", "lattice": [[-4.448, 1.461, 1.615], [-4.097, -1.459, -2.369], [-3.058, -3.266, 2.123]], "species": ["Ge", "Tb", "Sm"], "frac_coords": [[0.250, 0.250, 0.250], [0.000, 0.000, 0.000], [0.500, 0.500, 0.500]], "e_tot_ev_per_atom": -5.1956, "crystal_system": "cubic", "mass_density_g_cm3": 7.38, "ef_ev_per_atom": -0.540}

Record 5
{"formula": "Tb2SmGe", "functional": "GGA-PBE", "state": "relaxed", "lattice": [[3.500, 0.000, 0.000], [1.750, 3.031, 0.000], [1.750, 1.010, 11.608]], "species": ["Ge", "Sm", "Tb", "Tb"], "frac_coords": [[0.000, 0.000, 0.000], [0.500, 0.500, 0.500], [0.083, 0.083, 0.750], [0.917, 0.917, 0.250]], "e_tot_ev_per_atom": -4.4994, "crystal_system": "trigonal", "mass_density_g_cm3": 7.29, "ef_ev_per_atom": 0.150}

Record 6
{"formula": "Tb2Sm3Ge4", "functional": "GGA-PBE", "state": "relaxed", "lattice": [[-2.056, -6.058, -4.322], [6.009, 5.880, -2.683], [5.722, -4.324, 3.339]], "species": ["Sm", "Ge", "Ge", "Sm", "Ge", "Tb", "Sm", "Sm", "Tb", "Tb", "Sm", "Ge", "Ge", "Ge", "Sm", "Tb", "Ge", "Ge"], "frac_coords": [[0.000, 0.500, 0.500], [0.382, 0.508, 0.372], [0.618, 0.492, 0.628], [0.500, 0.500, 0.000], [0.882, 0.508, 0.128], [0.491, 0.763, 0.664], [0.634, 0.199, 0.819], [0.866, 0.801, 0.319], [0.991, 0.763, 0.836], [0.509, 0.237, 0.336], [0.134, 0.199, 0.681], [0.240, 0.915, 0.537], [0.260, 0.085, 0.037], [0.760, 0.085, 0.463], [0.366, 0.801, 0.181], [0.009, 0.237, 0.164], [0.740, 0.915, 0.963], [0.118, 0.492, 0.872]], "e_tot_ev_per_atom": -5.5023, "crystal_system": "monoclinic", "mass_density_g_cm3": 7.72, "ef_ev_per_atom": -0.848}

Record 7
{"formula": "Tb2SmGe", "functional": "GGA-PBE", "state": "relaxed", "lattice": [[-1.629, -3.422, 0.071], [1.645, -2.843, 1.891], [-4.906, 0.415, 8.692]], "species": ["Ge", "Sm", "Tb", "Tb"], "frac_coords": [[0.666, 0.666, 0.001], [0.501, 0.501, 0.498], [0.268, 0.268, 0.195], [0.065, 0.065, 0.806]], "e_tot_ev_per_atom": -4.8940, "crystal_system": "trigonal", "mass_density_g_cm3": 7.40, "ef_ev_per_atom": -0.245}

Record 8
{"formula": "TbSm5Ge4", "functional": "GGA-PBE", "state": "relaxed", "lattice": [[5.055, 0.000, 0.000], [0.000, 6.465, -2.621], [-2.528, -3.477, 9.824]], "species": ["Ge", "Sm", "Sm", "Ge", "Sm", "Sm", "Sm", "Tb", "Ge", "Ge"], "frac_coords": [[0.991, 0.735, 0.981], [0.835, 0.165, 0.671], [0.835, 0.676, 0.670], [0.009, 0.265, 0.019], [0.165, 0.835, 0.329], [0.500, 0.500, 0.000], [0.165, 0.324, 0.330], [0.500, 0.000, 0.000], [0.677, 0.106, 0.355], [0.323, 0.894, 0.645]], "e_tot_ev_per_atom": -5.3004, "crystal_system": "monoclinic", "mass_density_g_cm3": 7.25, "ef_ev_per_atom": -0.631}